## Ca2CuAu (PBE-GGA)

Data for a relaxed Ca2CuAu crystal.

Cell lengths 4.204, 4.204, 6.044 Å; angles 90.00, 90.00, 90.00 degrees
Space group P4mm (No. 99)
One atom of each set of equivalent atoms:
Ca: 0.000 0.000 0.000 [1 per cell]
Ca: 0.500 0.500 0.432 [1 per cell]
Cu: 0.000 0.000 0.509 [1 per cell]
Au: 0.500 0.500 0.924 [1 per cell]

* uncorrected energy: -3.13 eV/atom
* formation enthalpy at 0 K: -0.286 eV/atom

---

## SmScIr2 (PBE-GGA)

Data for a relaxed SmScIr2 crystal.

Cell lengths 6.753, 6.753, 6.753 Å; angles 90.00, 90.00, 90.00 degrees
Space group Fm-3m (No. 225)
One atom of each set of equivalent atoms:
Sm: 0.000 0.000 0.000 [4 per cell]
Sc: 0.000 0.000 0.500 [4 per cell]
Ir: 0.250 0.250 0.250 [8 per cell]

* uncorrected energy: -7.93 eV/atom
* formation enthalpy at 0 K: -0.733 eV/atom
* E above lowest polymorph: 0.0568 eV per atom

---

## Pr4YTm4 (PBE-GGA)

Data for a relaxed Pr4YTm4 crystal.

Cell lengths 10.808, 10.808, 5.075 Å; angles 90.00, 90.00, 90.00 degrees
Space group I4/mmm (No. 139)
One atom of each set of equivalent atoms:
Pr: 0.168 0.168 0.000 [8 per cell]
Y: 0.000 0.000 0.500 [2 per cell]
Tm: 0.000 0.337 0.500 [8 per cell]

* uncorrected energy: -4.81 eV/atom
* formation enthalpy at 0 K: 0.024 eV/atom

---

## AcPa2Mo (PBE-GGA)

Data for a relaxed AcPa2Mo crystal.

Cell lengths 3.7855, 3.7855, 30.5531 Å; angles 90.00, 90.00, 120.00 degrees
Space group R-3m (No. 166, hexagonal axes)
One atom of each set of equivalent atoms:
Ac: 0.0000 0.0000 0.0000 [3 per cell]
Pa: 0.0000 0.0000 0.1129 [6 per cell]
Mo: 0.0000 0.0000 0.5000 [3 per cell]

* uncorrected energy: -7.82 eV/atom
* formation enthalpy at 0 K: 0.668 eV/atom